1.
{"formula": "HgGeCl2", "functional": "PBE-GGA", "state": "relaxed", "dos_ef_per_ev_atom": 0.0008, "formation_energy_uncorrected_ev_per_atom": -0.105, "space_group": "Fm-3m (225)", "lattice": [[0.0000, 3.6145, 3.6145], [3.6145, 0.0000, 3.6145], [3.6145, 3.6145, 0.0000]], "species": ["Ge", "Hg", "Cl", "Cl"], "fractional_positions": [[0.0000, 0.0000, 0.0000], [0.5000, 0.5000, 0.5000], [0.7500, 0.7500, 0.7500], [0.2500, 0.2500, 0.2500]]}

---

2.
{"formula": "HgGeCl2", "functional": "PBE-GGA", "state": "relaxed", "formation_energy_uncorrected_ev_per_atom": -0.546, "space_group": "R-3m (166)", "lattice": [[-0.8158, 10.2406, -2.3948], [-0.6341, 8.6768, -5.9650], [-4.0466, 8.8457, -4.0805]], "species": ["Hg", "Cl", "Cl", "Ge"], "fractional_positions": [[0.5000, 0.5000, 0.5000], [0.7149, 0.7149, 0.7149], [0.2851, 0.2851, 0.2851], [0.0000, 0.0000, 0.0000]]}

---

3.
{"formula": "HgGe2Cl", "functional": "PBE-GGA", "state": "relaxed", "dos_ef_per_ev_atom": 0.3953, "formation_energy_uncorrected_ev_per_atom": 0.349, "space_group": "I-42d (122)", "lattice": [[-4.3353, -3.8552, 0.8469], [3.6454, -3.4284, 3.0548], [-2.1411, -0.3360, 7.8044]], "species": ["Hg", "Hg", "Ge", "Ge", "Ge", "Ge", "Cl", "Cl"], "fractional_positions": [[0.0000, 0.0000, 0.0000], [0.7500, 0.2500, 0.5000], [0.6388, 0.1250, 0.2500], [0.8750, 0.8888, 0.7500], [0.3750, 0.3612, 0.7500], [0.1112, 0.6250, 0.2500], [0.5000, 0.5000, 0.0000], [0.2500, 0.7500, 0.5000]]}

---

4.
{"formula": "HgGe4Cl8", "functional": "PBE-GGA", "state": "relaxed", "dos_ef_per_ev_atom": 0.0000, "formation_energy_uncorrected_ev_per_atom": -0.710, "space_group": "Cm (8)", "lattice": [[3.8046, 0.0000, 0.8241], [1.6904, 10.3802, 1.3902], [-0.3374, 0.1398, 10.7522]], "species": ["Cl", "Ge", "Cl", "Ge", "Cl", "Ge", "Cl", "Hg", "Cl", "Cl", "Ge", "Cl", "Cl"], "fractional_positions": [[0.2138, 0.6443, 0.9281], [0.3585, 0.8409, 0.4421], [0.8744, 0.7073, 0.5439], [0.8522, 0.4899, 0.8056], [0.5745, 0.6425, 0.2085], [0.1793, 0.5134, 0.1281], [0.4571, 0.3605, 0.7254], [0.5159, 0.0016, 0.9666], [0.2071, 0.9760, 0.6097], [0.8177, 0.3590, 0.0055], [0.6726, 0.1630, 0.4918], [0.8240, 0.0276, 0.3244], [0.1572, 0.2962, 0.3894]]}

---

5.
{"formula": "Hg2GeCl8", "functional": "PBE-GGA", "state": "relaxed", "dos_ef_per_ev_atom": 0.0000, "formation_energy_uncorrected_ev_per_atom": -0.613, "space_group": "C2/m (12)", "lattice": [[-6.7884, -1.2927, 1.3051], [3.0860, -0.0608, -7.7858], [5.7345, -6.1042, 0.0041]], "species": ["Hg", "Hg", "Cl", "Cl", "Cl", "Ge", "Cl", "Cl", "Cl", "Cl", "Cl"], "fractional_positions": [[0.3589, 0.6637, 0.6637], [0.6411, 0.3363, 0.3363], [0.0932, 0.9922, 0.3051], [0.4625, 0.1094, 0.1094], [0.0932, 0.3051, 0.9922], [0.0000, 0.0000, 0.0000], [0.9068, 0.0078, 0.6949], [0.1841, 0.4422, 0.4422], [0.5375, 0.8906, 0.8906], [0.9068, 0.6949, 0.0078], [0.8159, 0.5578, 0.5578]]}

---

6.
{"formula": "HgGeCl2", "functional": "PBE-GGA", "state": "relaxed", "formation_energy_uncorrected_ev_per_atom": -0.545, "space_group": "R-3m (166)", "lattice": [[3.8985, 0.0000, 0.0000], [1.9492, 3.3762, 0.0000], [1.9492, 1.1254, 10.9001]], "species": ["Cl", "Hg", "Ge", "Cl"], "fractional_positions": [[0.1210, 0.1210, 0.6370], [0.0000, 0.0000, 0.0000], [0.5000, 0.5000, 0.5000], [0.8790, 0.8790, 0.3630]]}

---

7.
{"formula": "HgGeCl2", "functional": "PBE-GGA", "state": "relaxed", "dos_ef_per_ev_atom": 0.0000, "formation_energy_uncorrected_ev_per_atom": -0.458, "space_group": "I-42d (122)", "lattice": [[-6.9655, -0.4930, 3.8835], [3.7834, -2.8834, 6.4199], [-0.8700, 3.6447, 7.1220]], "species": ["Cl", "Ge", "Cl", "Cl", "Cl", "Hg", "Hg", "Ge"], "fractional_positions": [[0.8750, 0.6992, 0.7500], [0.5000, 0.5000, 0.0000], [0.4492, 0.1250, 0.2500], [0.3750, 0.5508, 0.7500], [0.3008, 0.6250, 0.2500], [0.0000, 0.0000, 0.0000], [0.7500, 0.2500, 0.5000], [0.2500, 0.7500, 0.5000]]}

---

8.
{"formula": "HgGe2Cl6", "functional": "PBE-GGA", "state": "relaxed", "dos_ef_per_ev_atom": 0.0984, "formation_energy_uncorrected_ev_per_atom": -0.648, "space_group": "C2/c (15)", "lattice": [[-7.3845, -0.5682, -3.3531], [-2.2128, -9.5991, -3.0823], [-7.0496, -3.6986, 6.5699]], "species": ["Cl", "Cl", "Cl", "Cl", "Ge", "Cl", "Cl", "Cl", "Cl", "Ge", "Hg", "Ge", "Cl", "Ge", "Cl", "Hg", "Cl", "Cl"], "fractional_positions": [[0.6940, 0.0086, 0.6071], [0.8060, 0.3929, 0.9914], [0.0734, 0.6745, 0.6749], [0.5725, 0.6556, 0.2073], [0.8175, 0.7879, 0.5738], [0.9266, 0.3255, 0.3251], [0.0725, 0.2073, 0.6556], [0.5734, 0.6749, 0.6745], [0.3060, 0.9914, 0.3929], [0.3175, 0.5738, 0.7879], [0.7500, 0.9999, 0.0001], [0.1825, 0.2121, 0.4262], [0.4266, 0.3251, 0.3255], [0.6825, 0.4262, 0.2121], [0.1940, 0.6071, 0.0086], [0.2500, 0.0001, 0.9999], [0.9275, 0.7927, 0.3444], [0.4275, 0.3444, 0.7927]]}

---

9.
{"formula": "HgGe2Cl", "functional": "PBE-GGA", "state": "relaxed", "dos_ef_per_ev_atom": 0.8810, "formation_energy_uncorrected_ev_per_atom": 0.270, "space_group": "Fm-3m (225)", "lattice": [[1.5832, -3.7284, 2.8233], [-0.4803, 0.2433, 4.9080], [-3.2578, -2.9044, 2.3087]], "species": ["Ge", "Hg", "Ge", "Cl"], "fractional_positions": [[0.2500, 0.2500, 0.2500], [0.5000, 0.5000, 0.5000], [0.7500, 0.7500, 0.7500], [0.0000, 0.0000, 0.0000]]}

---

10.
{"formula": "Hg4GeCl2", "functional": "PBE-GGA", "state": "relaxed", "dos_ef_per_ev_atom": 0.7392, "formation_energy_uncorrected_ev_per_atom": -0.200, "space_group": "I4/mmm (139)", "lattice": [[5.3284, 0.0000, 0.0000], [0.0000, 5.3284, 0.0000], [-2.6642, -2.6642, 7.5742]], "species": ["Hg", "Ge", "Hg", "Hg", "Cl", "Cl", "Hg"], "fractional_positions": [[0.8199, 0.8199, 0.6398], [0.0000, 0.0000, 0.0000], [0.5000, 0.0000, 0.0000], [0.0000, 0.5000, 0.0000], [0.3526, 0.3526, 0.7052], [0.6474, 0.6474, 0.2948], [0.1801, 0.1801, 0.3602]]}

---

11.
{"formula": "Hg2GeICl", "functional": "PBE-GGA", "state": "relaxed", "dos_ef_per_ev_atom": 0.3661, "formation_energy_uncorrected_ev_per_atom": -0.175, "space_group": "P4/mmm (123)", "lattice": [[5.4657, 0.0000, 0.0000], [0.0000, 5.4657, 0.0000], [0.0000, 0.0000, 4.9559]], "species": ["Cl", "Hg", "Ge", "I", "Hg"], "fractional_positions": [[0.0000, 0.0000, 0.5000], [0.5000, 0.0000, 0.0000], [0.0000, 0.0000, 0.0000], [0.5000, 0.5000, 0.5000], [0.0000, 0.5000, 0.0000]]}

---

12.
{"formula": "K2HgGeCl6", "functional": "PBE-GGA", "state": "relaxed", "formation_energy_uncorrected_ev_per_atom": -1.199, "space_group": "P1 (1)", "lattice": [[7.4346, 0.0033, 0.0015], [3.7201, 6.4344, -0.0052], [3.7194, 2.1387, 6.0799]], "species": ["K", "Hg", "Cl", "Cl", "Cl", "Cl", "K", "Cl", "Ge", "Cl"], "fractional_positions": [[0.5468, 0.5468, 0.3591], [0.3149, 0.3140, 0.0560], [0.5809, 0.1461, 0.2838], [0.9884, 0.5825, 0.2818], [0.0733, 0.4997, 0.7788], [0.6489, 0.0739, 0.7791], [0.0467, 0.0467, 0.8605], [0.5000, 0.6481, 0.7806], [0.8152, 0.8150, 0.5541], [0.1465, 0.9888, 0.2814]]}

---

13.
{"formula": "La2HgGeCl", "functional": "PBE-GGA", "state": "relaxed", "dos_ef_per_ev_atom": 0.8617, "formation_energy_uncorrected_ev_per_atom": -0.370, "space_group": "P4/mmm (123)", "lattice": [[5.4171, 0.0000, 0.0000], [0.0000, 5.2972, 0.0000], [0.0000, 0.0000, 5.4171]], "species": ["La", "Cl", "Ge", "La", "Hg"], "fractional_positions": [[0.0000, 0.0000, 0.5000], [0.0000, 0.0000, 0.0000], [0.5000, 0.5000, 0.5000], [0.5000, 0.0000, 0.0000], [0.0000, 0.5000, 0.0000]]}

---

14.
{"formula": "LiHgGeCl2", "functional": "PBE-GGA", "state": "relaxed", "dos_ef_per_ev_atom": 0.4890, "formation_energy_uncorrected_ev_per_atom": -0.410, "space_group": "P4/mmm (123)", "lattice": [[-2.5495, -3.8248, -0.4007], [3.0373, -1.5880, -4.1667], [2.8360, -2.1945, 2.9036]], "species": ["Cl", "Cl", "Li", "Hg", "Ge"], "fractional_positions": [[0.5000, 0.0000, 0.0000], [0.0000, 0.0000, 0.5000], [0.0000, 0.0000, 0.0000], [0.0000, 0.5000, 0.0000], [0.5000, 0.5000, 0.5000]]}

---

15.
{"formula": "MnHgGeCl2", "functional": "PBE-GGA", "state": "relaxed", "dos_ef_per_ev_atom": 0.2767, "formation_energy_uncorrected_ev_per_atom": -0.215, "space_group": "P4/mmm (123)", "lattice": [[4.6797, 0.0000, 0.0000], [0.0000, 5.3840, 0.0000], [0.0000, 0.0000, 4.6797]], "species": ["Ge", "Cl", "Mn", "Cl", "Hg"], "fractional_positions": [[0.0000, 0.5000, 0.0000], [0.5000, 0.0000, 0.0000], [0.0000, 0.0000, 0.0000], [0.0000, 0.0000, 0.5000], [0.5000, 0.5000, 0.5000]]}

---

16.
{"formula": "MnHgGeCl2", "functional": "PBE-GGA", "state": "relaxed", "dos_ef_per_ev_atom": 0.6262, "formation_energy_uncorrected_ev_per_atom": -0.023, "space_group": "P4/mmm (123)", "lattice": [[4.6334, 0.0000, 0.0000], [0.0000, 6.0221, 0.0000], [0.0000, 0.0000, 4.6334]], "species": ["Ge", "Cl", "Cl", "Mn", "Hg"], "fractional_positions": [[0.5000, 0.5000, 0.5000], [0.5000, 0.0000, 0.0000], [0.0000, 0.0000, 0.5000], [0.0000, 0.0000, 0.0000], [0.0000, 0.5000, 0.0000]]}

---

17.
{"formula": "NaHgGeCl2", "functional": "PBE-GGA", "state": "relaxed", "dos_ef_per_ev_atom": 0.4288, "formation_energy_uncorrected_ev_per_atom": -0.207, "space_group": "P4/mmm (123)", "lattice": [[5.8875, 0.0000, 0.0000], [0.0000, 4.9521, 0.0000], [0.0000, 0.0000, 5.8875]], "species": ["Cl", "Ge", "Cl", "Na", "Hg"], "fractional_positions": [[0.5000, 0.0000, 0.0000], [0.0000, 0.5000, 0.0000], [0.0000, 0.0000, 0.5000], [0.5000, 0.5000, 0.5000], [0.0000, 0.0000, 0.0000]]}

---

18.
{"formula": "Ni2HgGeCl", "functional": "PBE-GGA", "state": "relaxed", "dos_ef_per_ev_atom": 1.1434, "formation_energy_uncorrected_ev_per_atom": 0.467, "space_group": "P4/mmm (123)", "lattice": [[4.5101, 0.0000, 0.0000], [0.0000, 5.1078, 0.0000], [0.0000, 0.0000, 4.5101]], "species": ["Ni", "Ni", "Ge", "Hg", "Cl"], "fractional_positions": [[0.5000, 0.0000, 0.0000], [0.0000, 0.0000, 0.5000], [0.0000, 0.0000, 0.0000], [0.5000, 0.5000, 0.5000], [0.0000, 0.5000, 0.0000]]}

---

19.
{"formula": "Ni2HgGeCl", "functional": "PBE-GGA", "state": "relaxed", "dos_ef_per_ev_atom": 2.9131, "formation_energy_uncorrected_ev_per_atom": 1.083, "space_group": "P4/mmm (123)", "lattice": [[4.8877, 0.0000, 0.0000], [0.0000, 5.1954, 0.0000], [0.0000, 0.0000, 4.8877]], "species": ["Cl", "Hg", "Ni", "Ni", "Ge"], "fractional_positions": [[0.5000, 0.5000, 0.5000], [0.0000, 0.0000, 0.0000], [0.5000, 0.0000, 0.0000], [0.0000, 0.0000, 0.5000], [0.0000, 0.5000, 0.0000]]}

---

20.
{"formula": "Ni2HgGeCl", "functional": "PBE-GGA", "state": "relaxed", "dos_ef_per_ev_atom": 0.7763, "formation_energy_uncorrected_ev_per_atom": 0.607, "space_group": "P4/mmm (123)", "lattice": [[-2.2111, -0.2956, 3.4891], [-4.9633, -1.1389, -3.2418], [0.8170, -4.0561, 0.1741]], "species": ["Ni", "Hg", "Ge", "Ni", "Cl"], "fractional_positions": [[0.5000, 0.0000, 0.0000], [0.0000, 0.5000, 0.0000], [0.5000, 0.5000, 0.5000], [0.0000, 0.0000, 0.5000], [0.0000, 0.0000, 0.0000]]}